Below is a relaxed structure of Pm2LuTc, with properties calculated at the PBE level.

Output
Energy of formation = 1.103 eV per formula unit
Space-group type = R-3m, No. 166
Spin magnetization = 0.00 μB per formula unit
D(E_F) = 1.503 states/eV/atom

```
4
Lattice="1.766 1.020 10.155 -1.766 1.020 10.155 0.000 -2.040 10.155" Properties=species:S:1:pos:R:3 pbc="T T T"
Pm 0.000 0.000 7.137
Pm 0.000 0.000 23.328
Lu 0.000 0.000 0.000
Tc 0.000 0.000 15.232
```